Entry 1:
ZrCdInHg | PBE | relaxed

Cell: 4.3672 4.5327 4.4011 Å, 90.00 90.00 90.00°
Closest atoms and distances in Å follow each position.
Fractional coordinates of all 4 atoms:
Zr: 0.0000 0.5000 0.5000  4 In 3.10, 4 Hg 3.15, 4 Cd 3.16
Cd: 0.0000 0.0000 0.0000  4 Hg 3.10, 4 In 3.15, 4 Zr 3.16
In: 0.5000 0.5000 0.0000  4 Zr 3.10, 4 Cd 3.15, 4 Hg 3.16
Hg: 0.5000 0.0000 0.5000  4 Cd 3.10, 4 Zr 3.15, 4 In 3.16

## Properties
- D(E_F) (states/eV per cell) = 1.73
- DFT formation energy (eV/atom) = -0.1983
- total moment (μB per formula unit) = 0.0
- SG = Pmmm (47)


Entry 2:
Cd2HgIr | PBE | relaxed

Cell: 2.9757 2.9757 10.1558 Å, 90.00 90.00 118.06°
Closest atoms and distances in Å follow each position.
Fractional coordinates of all 4 atoms:
Ir: 0.5000 0.5000 0.7500  4 Cd 2.76, 6 Ir 2.98-3.06
Hg: 0.5000 0.5000 0.2500  6 Hg 2.98-3.06, 4 Cd 3.17
Cd: 0.0000 0.0000 0.9764  2 Ir 2.76, 6 Cd 2.98-3.06
Cd: 0.0000 0.0000 0.5236  2 Ir 2.76, 6 Cd 2.98-3.06

## Properties
- D(E_F) (states/eV per cell) = 1.95
- DFT formation energy (eV/atom) = 0.2598
- total moment (μB per formula unit) = 0.0
- SG = Cmmm (65)
- relative energy among the computed polymorphs (eV/atom) = 0.1311


Entry 3:
CdHgIr | PBE | relaxed

Cell: 3.0174 3.0174 7.1229 Å, 90.00 90.00 120.00°
Closest atoms and distances in Å follow each position.
Fractional coordinates of all 3 atoms:
Ir: 0.3333 0.6667 0.6711  3 Cd 2.82, 3 Hg 2.90, 6 Ir 3.02
Hg: 0.6667 0.3333 0.3462  3 Ir 2.90, 6 Hg 3.02, 3 Cd 3.12
Cd: 0.0000 0.0000 0.9827  3 Ir 2.82, 6 Cd 3.02, 3 Hg 3.12

## Properties
- D(E_F) (states/eV per cell) = 1.40
- DFT formation energy (eV/atom) = 0.3464
- total moment (μB per formula unit) = 0.0
- SG = P3m1 (156)
- relative energy among the computed polymorphs (eV/atom) = 0.2257


Entry 4:
CdHgIr3 | PBE | relaxed

Cell: 4.9519 4.9519 4.9519 Å, 90.00 90.00 90.00°
Closest atoms and distances in Å follow each position.
Fractional coordinates of all 5 atoms:
Ir: 0.0000 0.5000 0.0000  2 Hg 2.48
Ir: 0.0000 0.0000 0.5000  2 Hg 2.48
Ir: 0.5000 0.0000 0.0000  2 Hg 2.48
Hg: 0.0000 0.0000 0.0000  6 Ir 2.48
Cd: 0.5000 0.5000 0.5000  12 Ir 3.50

## Properties
- D(E_F) (states/eV per cell) = 9.88
- DFT formation energy (eV/atom) = 2.1950
- total moment (μB per formula unit) = 2.0
- SG = Pm-3m (221)
- relative energy among the computed polymorphs (eV/atom) = 0.0000


Entry 5:
Cd2HgIr | PBE | relaxed

Cell: 6.9302 6.9302 4.6223 Å, 70.47 70.47 24.96°
Closest atoms and distances in Å follow each position.
Fractional coordinates of all 4 atoms:
Ir: 0.2505 0.2505 0.2493  6 Cd 2.75-2.78, 2 Hg 2.83, 2 Ir 2.99
Hg: 0.5616 0.5616 0.4386  2 Ir 2.83, 2 Hg 2.99
Cd: 0.9350 0.9350 0.0652  2 Ir 2.78, 2 Cd 2.99
Cd: 0.7529 0.7529 0.7470  4 Ir 2.75, 2 Cd 2.99

## Properties
- D(E_F) (states/eV per cell) = 2.30
- DFT formation energy (eV/atom) = 0.1287
- total moment (μB per formula unit) = 0.0
- SG = Imm2 (44)
- relative energy among the computed polymorphs (eV/atom) = 0.0000


Entry 6:
Cd2HgIr | PBE | relaxed

Cell: 10.7740 10.7740 10.7740 Å, 15.76 15.76 15.76°
Closest atoms and distances in Å follow each position.
Fractional coordinates of all 4 atoms:
Ir: 0.7480 0.7480 0.7480  3 Cd 2.85, 3 Hg 2.95, 6 Ir 2.95
Hg: 0.4901 0.4901 0.4901  3 Ir 2.95, 6 Hg 2.95
Cd: 0.0099 0.0099 0.0099  3 Ir 2.85, 6 Cd 2.95
Cd: 0.2520 0.2520 0.2520  6 Cd 2.95

## Properties
- D(E_F) (states/eV per cell) = 3.66
- DFT formation energy (eV/atom) = 0.2819
- total moment (μB per formula unit) = 0.2
- SG = R3m (160)
- relative energy among the computed polymorphs (eV/atom) = 0.1532


Entry 7:
CdHgIr2 | PBE | relaxed

Cell: 4.9556 4.9556 5.1321 Å, 79.71 79.71 34.31°
Closest atoms and distances in Å follow each position.
Fractional coordinates of all 4 atoms:
Ir: 0.9896 0.9896 0.0303  5 Ir 2.66-2.92, 2 Cd 2.84, 3 Hg 2.95-2.96
Ir: 0.2596 0.2596 0.2225  5 Ir 2.66-2.92, 2 Hg 2.86, 3 Cd 2.93-2.96
Hg: 0.7437 0.7437 0.7492  3 Cd 2.79-2.97, 7 Ir 2.86-3.05, 2 Hg 2.92
Cd: 0.5071 0.5071 0.4981  3 Hg 2.79-2.97, 7 Ir 2.84-3.07, 2 Cd 2.92

## Properties
- D(E_F) (states/eV per cell) = 3.61
- DFT formation energy (eV/atom) = 0.3740
- total moment (μB per formula unit) = 0.0
- SG = Cm (8)


Entry 8:
CdHgIr | PBE | relaxed

Cell: 7.6919 7.4049 2.9878 Å, 84.04 73.23 22.73°
Closest atoms and distances in Å follow each position.
Fractional coordinates of all 3 atoms:
Ir: 0.3350 0.3350 0.6650  2 Cd 2.74, 2 Hg 2.80, 6 Ir 2.99-3.03
Hg: 0.6725 0.6725 0.3275  2 Ir 2.80, 6 Hg 2.99-3.03, 2 Cd 3.02
Cd: 0.9926 0.9926 0.0074  2 Ir 2.74, 6 Cd 2.99-3.03, 2 Hg 3.02

## Properties
- D(E_F) (states/eV per cell) = 1.62
- DFT formation energy (eV/atom) = 0.3803
- total moment (μB per formula unit) = 0.0
- SG = Fmm2 (42)
- relative energy among the computed polymorphs (eV/atom) = 0.2597


Entry 9:
CdHgIr2 | PBE | relaxed

Cell: 2.8790 2.8790 8.5882 Å, 90.00 90.00 90.00°
Closest atoms and distances in Å follow each position.
Fractional coordinates of all 4 atoms:
Ir: 0.0000 0.0000 0.0282  8 Ir 2.67-2.88
Ir: 0.5000 0.5000 0.2285  8 Ir 2.67-2.88, 4 Cd 2.93
Hg: 0.5000 0.5000 0.7700  4 Hg 2.88, 4 Ir 3.01
Cd: 0.0000 0.0000 0.4733  4 Cd 2.88, 4 Ir 2.93

## Properties
- D(E_F) (states/eV per cell) = 4.72
- DFT formation energy (eV/atom) = 0.2566
- total moment (μB per formula unit) = 0.0
- SG = P4mm (99)


Entry 10:
CdHgIr2 | PBE | relaxed

Cell: 5.0224 5.0224 2.9100 Å, 90.00 90.00 109.46°
Closest atoms and distances in Å follow each position.
Fractional coordinates of all 4 atoms:
Ir: 0.0000 0.0000 0.0000  4 Ir 2.90-2.91, 4 Cd 2.90, 4 Hg 2.90
Ir: 0.5000 0.5000 0.0000  4 Ir 2.90-2.91, 4 Hg 2.90, 4 Cd 2.90
Hg: 0.0000 0.5000 0.5000  2 Cd 2.90, 8 Ir 2.90, 2 Hg 2.91
Cd: 0.5000 0.0000 0.5000  2 Hg 2.90, 8 Ir 2.90, 2 Cd 2.91

## Properties
- D(E_F) (states/eV per cell) = 6.13
- DFT formation energy (eV/atom) = 0.4794
- total moment (μB per formula unit) = 0.0
- SG = Cmmm (65)


Entry 11:
CdHgIr | PBE | relaxed

Cell: 3.7330 2.8376 11.6351 Å, 90.00 90.00 90.00°
Closest atoms and distances in Å follow each position.
Fractional coordinates of all 6 atoms:
Ir: 0.0000 0.5000 0.6791  6 Ir 2.60-2.84
Ir: 0.5000 0.0000 0.5832  6 Ir 2.60-2.84
Hg: 0.0000 0.5000 0.0324  2 Hg 2.84
Hg: 0.0000 0.5000 0.4139  2 Hg 2.84, 5 Ir 3.06-3.09
Cd: 0.5000 0.0000 0.2283  2 Cd 2.84
Cd: 0.5000 0.0000 0.8389  2 Cd 2.84, 5 Ir 2.98-2.99

## Properties
- D(E_F) (states/eV per cell) = 3.67
- DFT formation energy (eV/atom) = 0.2122
- total moment (μB per formula unit) = 0.0
- SG = Pmm2 (25)
- relative energy among the computed polymorphs (eV/atom) = 0.0915


Entry 12:
Cd2HgIr | PBE | relaxed

Cell: 4.7636 4.7636 4.7636 Å, 60.00 60.00 60.00°
Closest atoms and distances in Å follow each position.
Fractional coordinates of all 4 atoms:
Ir: 0.0000 0.0000 0.0000  8 Cd 2.92
Hg: 0.5000 0.5000 0.5000  8 Cd 2.92
Cd: 0.2500 0.2500 0.2500  4 Hg 2.92, 4 Ir 2.92
Cd: 0.7500 0.7500 0.7500  4 Hg 2.92, 4 Ir 2.92

## Properties
- D(E_F) (states/eV per cell) = 1.85
- DFT formation energy (eV/atom) = 0.2680
- total moment (μB per formula unit) = 0.0
- SG = Fm-3m (225)
- relative energy among the computed polymorphs (eV/atom) = 0.1393


What is the DFT formation energy in the eleventh record? 0.2122 eV/atom